Run one
Density functional theory data (PBEsol) for a relaxed structure of LiCu2Ge2.

The structure in POSCAR format:
```
LiCu2Ge2
1.0
-2.774 2.186 2.056
-1.997 -3.435 0.956
5.107 0.192 2.626
Cu Ge Li
2 2 1
Cartesian
2.077 -0.330 3.153
-1.741 -0.727 2.485
-0.026 0.877 3.094
0.362 -1.933 2.544
0.000 0.000 0.000
```

---

Run two
Density functional theory data (PBEsol) for a relaxed structure of LiCu2Ge2.

The structure in POSCAR format:
```
LiCu2Ge2
1.0
3.795 0.000 0.000
0.000 3.795 0.000
-1.897 -1.897 5.367
Cu Ge Li
2 2 1
Cartesian
1.897 0.000 2.684
0.000 1.897 2.684
1.897 1.897 1.202
0.000 0.000 4.165
0.000 0.000 0.000
```

---

Stability ranking, top and bottom: run two is the most stable and run one is the least stable.

---

Run one
Density functional theory data (PBEsol) for a relaxed structure of CuPH6NO5.

The structure in POSCAR format:
```
CuPH6NO5
1.0
7.427 0.000 -0.028
0.000 7.420 0.000
-0.760 0.000 8.574
H P O Cu N
24 4 20 4 4
Cartesian
0.456 0.890 4.910
6.512 1.289 3.923
0.985 0.505 1.717
2.263 6.931 1.705
3.869 4.999 4.609
6.212 6.530 3.636
6.235 5.051 4.507
4.146 1.341 4.024
3.542 5.834 3.146
1.969 4.215 6.843
0.432 2.369 4.038
4.169 2.820 4.896
3.126 1.586 5.400
0.156 6.131 4.623
6.839 2.124 5.385
5.977 4.199 1.691
5.682 6.915 6.829
4.699 3.205 1.703
4.405 0.489 6.841
2.522 6.079 4.521
0.691 3.221 6.855
-0.172 5.296 3.160
2.798 2.421 3.937
2.498 4.600 3.650
1.830 7.050 6.927
4.837 0.370 1.619
5.544 4.080 6.912
1.124 3.340 1.633
5.143 4.135 5.426
4.156 1.717 1.253
3.783 6.636 1.444
6.226 5.427 7.278
0.070 4.494 1.458
6.598 2.926 7.088
4.339 3.750 7.822
0.625 7.380 7.836
2.884 0.784 7.102
2.512 5.703 7.292
1.430 6.995 5.440
4.975 4.166 1.882
6.043 0.040 0.709
5.406 0.456 6.650
5.238 0.425 3.105
0.442 1.993 1.267
1.524 3.285 3.119
1.262 6.964 1.896
1.692 3.254 6.664
2.329 3.670 0.724
2.453 2.302 8.231
0.501 6.012 0.329
4.215 5.118 0.315
6.166 1.408 8.217
-0.163 1.678 4.574
3.117 5.388 3.986
6.830 5.742 3.972
3.551 2.032 4.560
```

---

Run two
Density functional theory data (PBEsol) for a relaxed structure of CuPH6NO5.

The structure in POSCAR format:
```
CuPH6NO5
1.0
-3.717 -0.675 -2.767
-1.807 -4.065 3.420
-4.534 5.924 4.646
Cu H O P N
2 12 10 2 2
Cartesian
-8.989 3.068 3.501
-1.932 -0.173 -1.226
-4.788 -1.290 3.736
-3.534 1.532 1.362
-5.541 0.221 1.938
-4.552 2.848 0.981
-4.465 -0.163 -1.254
-3.153 3.079 1.994
-5.954 3.149 3.902
-6.588 1.508 1.508
-3.192 0.624 3.659
-6.464 2.002 4.867
-5.762 -3.081 1.201
-7.140 0.265 2.554
-2.839 -2.412 2.273
-8.262 1.538 4.632
-6.139 3.163 0.516
-3.969 -0.120 2.364
-5.663 2.561 4.655
-4.386 -1.592 0.393
-3.818 0.596 -1.308
-4.716 4.818 3.235
-2.040 -0.613 0.760
-7.254 3.804 2.725
-7.095 4.171 1.209
-3.337 -1.187 1.430
-6.548 0.493 1.729
-3.548 2.552 1.159
```

---

Stability ranking, top and bottom: run one is the most stable and run two is the least stable.

---

Run one
Density functional theory data (PBEsol) for a relaxed structure of Cu3HPt.

The structure in POSCAR format:
```
Cu3HPt
1.0
3.717 0.000 0.000
0.000 3.717 0.000
0.000 0.000 3.717
Cu H Pt
3 1 1
Cartesian
0.000 0.000 1.858
0.000 1.858 0.000
1.858 0.000 0.000
0.000 0.000 0.000
1.858 1.858 1.858
```

---

Run two
Density functional theory data (PBEsol) for a relaxed structure of Cu3HPt.

The structure in POSCAR format:
```
Cu3HPt
1.0
4.658 0.000 0.000
0.000 4.658 0.000
0.000 0.000 4.658
Cu Pt H
3 1 1
Cartesian
2.329 0.000 0.000
0.000 2.329 0.000
0.000 0.000 2.329
0.000 0.000 0.000
2.329 2.329 2.329
```

---

Stability ranking, top and bottom: run one is the most stable and run two is the least stable.

---

Run one
Density functional theory data (PBEsol) for a relaxed structure of CuHg2Ir.

The structure in POSCAR format:
```
CuHg2Ir
1.0
2.882 0.007 0.000
-1.376 2.533 0.000
0.000 0.000 9.092
Cu Hg Ir
1 2 1
Cartesian
0.753 1.270 0.000
0.000 0.000 6.904
0.000 0.000 2.187
0.753 1.270 4.546
```

---

Run two
Density functional theory data (PBEsol) for a relaxed structure of CuHg2Ir.

The structure in POSCAR format:
```
CuHg2Ir
1.0
4.195 0.000 0.000
-2.097 4.275 -0.001
0.000 -2.058 3.656
Hg Cu Ir
2 1 1
Cartesian
0.000 0.594 2.741
2.097 1.623 0.914
2.097 -1.029 1.828
0.000 0.000 0.000
```

---

Run three
Density functional theory data (PBEsol) for a relaxed structure of CuHg2Ir.

The structure in POSCAR format:
```
CuHg2Ir
1.0
-1.171 0.304 -4.365
-3.876 -1.850 -1.440
-3.454 2.656 -1.239
Hg Cu Ir
2 1 1
Cartesian
-6.376 0.833 -5.283
0.000 0.000 0.000
-4.250 0.555 -3.522
-2.125 0.278 -1.761
```

---

Stability ranking, top and bottom: run two is the most stable and run three is the least stable.

---

Run one
Density functional theory data (PBEsol) for a relaxed structure of CuHgIr2.

The structure in POSCAR format:
```
CuHgIr2
1.0
4.382 0.000 0.000
2.191 3.795 0.000
2.191 1.265 3.578
Ir Cu Hg
2 1 1
Cartesian
2.191 1.265 0.894
6.573 3.795 2.683
0.000 0.000 0.000
4.382 2.530 1.789
```

---

Run two
Density functional theory data (PBEsol) for a relaxed structure of CuHgIr2.

The structure in POSCAR format:
```
CuHgIr2
1.0
2.831 0.000 0.000
0.000 4.647 0.000
-1.416 -2.323 4.575
Ir Hg Cu
2 1 1
Cartesian
1.416 0.000 2.308
0.000 0.000 0.124
0.000 2.323 2.225
0.000 0.000 4.493
```

---

Run three
Density functional theory data (PBEsol) for a relaxed structure of CuHgIr2.

The structure in POSCAR format:
```
CuHgIr2
1.0
-2.174 -1.486 0.878
3.537 -3.095 -0.868
0.944 1.273 4.493
Ir Cu Hg
2 1 1
Cartesian
1.385 -1.543 0.819
0.922 -1.766 3.685
-1.087 -0.743 0.439
0.472 0.636 2.247
```

---

Stability ranking, top and bottom: run three is the most stable and run one is the least stable.

---

Run one
Density functional theory data (PBEsol) for a relaxed structure of Cu2HgIr.

The structure in POSCAR format:
```
Cu2HgIr
1.0
2.923 0.000 0.000
0.000 2.923 0.000
0.000 0.000 6.586
Cu Hg Ir
2 1 1
Cartesian
0.000 0.000 0.084
1.461 1.461 1.406
0.000 0.000 3.203
1.461 1.461 5.187
```

---

Run two
Density functional theory data (PBEsol) for a relaxed structure of Cu2HgIr.

The structure in POSCAR format:
```
Cu2HgIr
1.0
-1.132 0.310 2.451
1.377 -2.292 -0.482
7.485 3.874 2.966
Cu Ir Hg
2 1 1
Cartesian
5.900 1.999 3.273
7.420 3.841 2.940
1.825 -0.110 1.659
3.813 1.974 1.511
```

---

Stability ranking, top and bottom: run one is the most stable and run two is the least stable.